## LaY2TcP (PBE)

Data for an optimized crystal structure of LaY2TcP.

a b c (Å): 5.1460 5.1460 5.5477
angles (deg): 90.00 90.00 90.00
With the nearest neighbours (Å) after each atom.
Fractional coordinates of all 5 atoms:
La: 0.0000 0.0000 0.0000  2 P 2.77
Y: 0.0000 0.5000 0.5000  2 P 2.57
Y: 0.5000 0.0000 0.5000  2 P 2.57
Tc: 0.5000 0.5000 0.0000  4 La 3.64, 8 Y 3.78
P: 0.0000 0.0000 0.5000  4 Y 2.57, 2 La 2.77

Space-group type: P4/mmm, No. 123
ΔE_f in eV/f.u.: 0.7
Density of states at the Fermi level in states/eV/atom: 1.39
Total moment in μB/f.u.: 0.0